The following is a GGA-PBE calculation of an optimized crystal structure of Ti2InSb, from the Alexandria database.

Cell: 4.387 4.387 4.072 Å, 90.00 90.00 90.00°
Positions (direct):
Ti1 0.000 0.500 0.000
Ti2 0.500 0.000 0.000
In1 0.000 0.000 0.500
Sb1 0.500 0.500 0.500

Total magnetization = 0.0 Bohr magnetons per cell
Formation energy without anion corrections = -54 kJ/mol of formula units
Relative energy among the computed polymorphs = 0 meV per atom
DOS at the Fermi energy = 0.84 states/eV per atom
SG = No. 123